(1)
The following is a DFT calculation (GGA-PBE) of a relaxed structure of CsTlGa2Rh.

It has space group P4/mmm (No. 123), with a = 4.984 Å, b = 4.984 Å, c = 5.438 Å, α = 90.00°, β = 90.00° and γ = 90.00°. The inequivalent atoms are Cs at (0.000, 0.000, 0.000), Tl at (0.500, 0.500, 0.000), Ga at (0.000, 0.500, 0.500) and Rh at (0.500, 0.500, 0.500).

The magnetization comes out at 0.000 μB per atom. As for the density of states at the Fermi level: 3.477 states/eV/f.u. For the total energy, the calculation gives -3.488 eV per atom. For the formation energy, the calculation gives -163 meV/atom.

(2)
The following is a DFT calculation (GGA-PBE) of a relaxed structure of InTcPt2.

It has space group Pmm2 (No. 25), with a = 2.822 Å, b = 4.630 Å, c = 5.011 Å, α = 90.00°, β = 90.00° and γ = 90.00°. The inequivalent atoms are In at (0.000, 0.000, 0.000), Tc at (0.000, 0.500, 0.362), Pt at (0.500, 0.000, 0.492) and Pt at (0.500, 0.500, 0.837).

The magnetization comes out at 0.000 μB per atom. As for the density of states at the Fermi level: 3.361 states/eV/f.u. For the total energy, the calculation gives -6.410 eV per atom. For the formation energy, the calculation gives -113 meV/atom.

(3)
The following is a DFT calculation (GGA-PBE) of a relaxed structure of Pm2DyRuO8.

It has space group Cmmm (No. 65), with a = 7.237 Å, b = 7.308 Å, c = 6.871 Å, α = 90.00°, β = 90.00° and γ = 90.00°. The inequivalent atoms are Pm at (0.000, 0.000, 0.250), Dy at (0.000, 0.500, 0.000), Ru at (0.000, 0.500, 0.500), O at (0.000, 0.322, 0.290), O at (0.197, 0.000, 0.000) and O at (0.241, 0.000, 0.500).

The magnetization comes out at 0.086 μB per atom. As for the density of states at the Fermi level: 2.532 states/eV/f.u. For the total energy, the calculation gives -7.571 eV per atom. The uncorrected formation energy is -2.317 eV/atom.